P:
First-principles (PBE-GGA) data for a relaxed structure of ZnMo2P2, as listed in Alexandria via LeMat-Bulk.

Lattice parameters (Å, degrees): 6.883 6.883 3.112 90.00 90.00 90.00
Atoms (fractional coordinates):
P 0.855 0.355 0.500
P 0.145 0.645 0.500
P 0.645 0.855 0.500
P 0.355 0.145 0.500
Mo 0.854 0.646 0.000
Mo 0.646 0.146 0.000
Mo 0.354 0.854 0.000
Mo 0.146 0.354 0.000
Zn 0.000 0.000 0.000
Zn 0.500 0.500 0.000

Computed properties:
* DOS(E_F): 9.1 states/eV/cell
* crystal system: tetragonal


Q:
First-principles (PBE-GGA) data for a relaxed structure of ZnMo2P2, as listed in Alexandria via LeMat-Bulk.

Lattice parameters (Å, degrees): 6.891 6.891 3.021 90.00 90.00 90.00
Atoms (fractional coordinates):
Mo 0.347 0.153 0.500
Mo 0.847 0.347 0.500
Mo 0.153 0.653 0.500
Mo 0.653 0.847 0.500
Zn 0.000 0.000 0.000
Zn 0.500 0.500 0.000
P 0.642 0.142 0.000
P 0.358 0.858 0.000
P 0.142 0.358 0.000
P 0.858 0.642 0.000

Computed properties:
* DOS(E_F): 9.3 states/eV/cell
* crystal system: tetragonal


Ranked by calculated energy, most stable first: P, Q.


P:
First-principles (PBE-GGA) data for a relaxed structure of PaMo, as listed in Alexandria via LeMat-Bulk.

Lattice parameters (Å, degrees): 3.473 3.473 3.473 90.00 90.00 90.00
Atoms (fractional coordinates):
Pa 0.500 0.500 0.500
Mo 0.000 0.000 0.000

Computed properties:
* DOS(E_F): 2.7 states/eV/cell
* crystal system: cubic


Q:
First-principles (PBE-GGA) data for a relaxed structure of PaMo, as listed in Alexandria via LeMat-Bulk.

Lattice parameters (Å, degrees): 3.362 3.420 7.694 63.58 90.00 90.00
Atoms (fractional coordinates):
Pa 0.750 0.115 0.136
Pa 0.250 0.885 0.864
Mo 0.250 0.363 0.387
Mo 0.750 0.637 0.613

Computed properties:
* DOS(E_F): 4.8 states/eV/cell
* crystal system: orthorhombic


Ranked by calculated energy, most stable first: Q, P.